Density functional theory data (PBE+U) for a geometry-optimized Dy2TmMoO8 structure.

POSCAR file:
```
Dy2TmMoO8
1.0
5.050 -0.050 -0.003
-0.026 5.051 -0.006
0.004 0.008 6.742
O Tm Dy Mo
8 1 2 1
Direct
0.182 0.818 0.215
0.304 0.304 0.500
0.818 0.182 0.215
0.275 0.274 0.000
0.696 0.696 0.500
0.725 0.726 0.000
0.818 0.182 0.785
0.182 0.818 0.785
0.000 0.000 0.500
0.500 0.500 0.749
0.500 0.500 0.251
0.000 0.000 0.000
```

uncorrected energy	-7.72	eV/atom
calculated volume	172	Å³ per cell
SG	Cmmm